Here is a relaxed LaCuAgH6 crystal from the Alexandria database. Energies are from PBE-GGA.

The structure in CIF format:
```
data_LaCuAgH6
_cell_length_a 4.6747
_cell_length_b 4.6747
_cell_length_c 4.5090
_cell_angle_alpha 90.00
_cell_angle_beta 90.00
_cell_angle_gamma 120.00
_symmetry_space_group_name_H-M 'P -6 m 2'
_symmetry_Int_Tables_number 187
_symmetry_space_group_name_Hall 'P -6 2'
loop_
_atom_site_label
_atom_site_fract_x
_atom_site_fract_y
_atom_site_fract_z
_atom_site_occupancy
La1 0.0000 0.0000 0.0000 1
Cu1 0.6667 0.3333 0.5000 1
Ag1 0.3333 0.6667 0.5000 1
H1 0.5131 0.0262 0.2199 1
```


# La2CuAgH (PBE-GGA, relaxed)
data_La2CuAgH
_cell_length_a 5.129
_cell_length_b 5.129
_cell_length_c 4.096
_cell_angle_alpha 90.00
_cell_angle_beta 90.00
_cell_angle_gamma 90.00
_symmetry_space_group_name_H-M 'P 4/m m m'
_symmetry_Int_Tables_number 123
_symmetry_space_group_name_Hall '-P 4 2'
loop_
_atom_site_label
_atom_site_fract_x
_atom_site_fract_y
_atom_site_fract_z
_atom_site_occupancy
La1 0.000 0.500 0.000 1
Cu1 0.000 0.000 0.500 1
Ag1 0.500 0.500 0.500 1
H1 0.500 0.500 0.000 1
# - energy above the most stable polymorph in this dataset (meV per atom) = 54


Here is a relaxed LiCuAg2H crystal from the Alexandria database. Energies are from PBE-GGA.

The structure in CIF format:
```
data_LiCuAg2H
_cell_length_a 4.397
_cell_length_b 4.397
_cell_length_c 3.394
_cell_angle_alpha 90.00
_cell_angle_beta 90.00
_cell_angle_gamma 90.00
_symmetry_space_group_name_H-M 'P 4/m m m'
_symmetry_Int_Tables_number 123
_symmetry_space_group_name_Hall '-P 4 2'
loop_
_atom_site_label
_atom_site_fract_x
_atom_site_fract_y
_atom_site_fract_z
_atom_site_occupancy
Li1 0.000 0.000 0.000 1
Cu1 0.500 0.500 0.000 1
Ag1 0.000 0.500 0.500 1
H1 0.500 0.500 0.500 1
```


E: -3.630 -4.222 -2.942 (eV/atom)